# 1
DFT (GGA-PBE) results for a relaxed structure of LaTcAs2.

The calculation puts the density of states at the Fermi level at 5.0 states/eV/f.u. The theoretical density is 7565 kg/m3. The energy above the most stable polymorph in this dataset is 691 meV/atom. The energy is -6.1924 eV per atom.

The structure belongs to space group I-4m2 (No. 119); the cell edges are 4.171, 4.171 and 9.758 Å and the angles 90.00°, 90.00° and 90.00°. The inequivalent atoms are La at (0.000, 0.000, 0.000), Tc at (0.000, 0.500, 0.750), As at (0.000, 0.000, 0.500) and As at (0.000, 0.500, 0.250).


# 2
DFT (GGA-PBE) results for a relaxed structure of LaTcAs2.

The calculation puts the density of states at the Fermi level at 1.8 states/eV/f.u. The theoretical density is 7245 kg/m3. The energy above the most stable polymorph in this dataset is 843 meV/atom. The energy is -6.0396 eV per atom.

The structure belongs to space group R3m (No. 160, hexagonal axes); the cell edges are 3.4789, 3.4789 and 25.3704 Å and the angles 90.00°, 90.00° and 120.00°. The inequivalent atoms are La at (0.0000, 0.0000, 0.0000), Tc at (0.0000, 0.0000, 0.2448), As at (0.0000, 0.0000, 0.5204) and As at (0.0000, 0.0000, 0.7595).


# 3
DFT (GGA-PBE) results for a relaxed structure of LaTcAs2.

The calculation puts the density of states at the Fermi level at 3.0 states/eV/f.u. The theoretical density is 7544 kg/m3. The energy above the most stable polymorph in this dataset is 247 meV/atom. The energy is -6.6355 eV per atom.

The structure belongs to space group Imm2 (No. 44); the cell edges are 3.318, 3.718 and 13.800 Å and the angles 90.00°, 90.00° and 90.00°. The inequivalent atoms are La at (0.000, 0.000, 0.000), Tc at (0.000, 0.500, 0.746), As at (0.000, 0.000, 0.380) and As at (0.000, 0.500, 0.174).


# 4
DFT (GGA-PBE) results for a relaxed structure of LaTcAs2.

The calculation puts the density of states at the Fermi level at 1.2 states/eV/f.u. The theoretical density is 6429 kg/m3. The energy above the most stable polymorph in this dataset is 398 meV/atom. The energy is -6.4850 eV per atom.

The structure belongs to space group I-42d (No. 122); the cell edges are 5.023, 5.023 and 15.837 Å and the angles 90.00°, 90.00° and 90.00°. The inequivalent atoms are La at (0.000, 0.000, 0.000), Tc at (0.000, 0.000, 0.500) and As at (0.104, 0.250, 0.625).


# 5
DFT (GGA-PBE) results for a relaxed structure of La2TcAs.

The calculation puts the density of states at the Fermi level at 4.0 states/eV/f.u. The theoretical density is 7487 kg/m3. The energy is -6.4562 eV per atom.

The structure belongs to space group P4mm (No. 99); the cell edges are 3.347, 3.347 and 8.924 Å and the angles 90.00°, 90.00° and 90.00°. The inequivalent atoms are La at (0.000, 0.000, 0.000), La at (0.500, 0.500, 0.393), Tc at (0.000, 0.000, 0.633) and As at (0.500, 0.500, 0.756).


# 6
DFT (GGA-PBE) results for a relaxed structure of LaTc2As.

The calculation puts the density of states at the Fermi level at 4.5 states/eV/f.u. The theoretical density is 8652 kg/m3. The energy is -7.2287 eV per atom.

The structure belongs to space group R-3m (No. 166, hexagonal axes); the cell edges are 3.4445, 3.4445 and 22.9653 Å and the angles 90.00°, 90.00° and 120.00°. The inequivalent atoms are La at (0.0000, 0.0000, 0.0000), Tc at (0.0000, 0.0000, 0.2332) and As at (0.0000, 0.0000, 0.5000).


# 7
DFT (GGA-PBE) results for a relaxed structure of LaTcAs2.

The calculation puts the density of states at the Fermi level at 2.9 states/eV/f.u. The theoretical density is 7791 kg/m3. The energy above the most stable polymorph in this dataset is 0 meV/atom. The energy is -6.8830 eV per atom.

The structure belongs to space group R-3m (No. 166, hexagonal axes); the cell edges are 4.3297, 4.3297 and 15.2319 Å and the angles 90.00°, 90.00° and 120.00°. The inequivalent atoms are La at (0.0000, 0.0000, 0.0000), Tc at (0.0000, 0.0000, 0.5000) and As at (0.0000, 0.0000, 0.2168).


# 8
DFT (GGA-PBE) results for a relaxed structure of LaTcAs2.

The calculation puts the density of states at the Fermi level at 2.6 states/eV/f.u. The theoretical density is 6847 kg/m3. The energy above the most stable polymorph in this dataset is 288 meV/atom. The energy is -6.5949 eV per atom.

The structure belongs to space group Pmm2 (No. 25); the cell edges are 4.072, 4.813 and 4.786 Å and the angles 90.00°, 90.00° and 90.00°. The inequivalent atoms are La at (0.000, 0.000, 0.000), Tc at (0.500, 0.500, 0.628), As at (0.500, 0.000, 0.496) and As at (0.500, 0.500, 0.118).